Record 1
First-principles (PBE-GGA) data for a geometry-optimized Tm3IrPd2 structure, as listed in the Alexandria database.

```
data_Tm3IrPd2
_symmetry_space_group_name_H-M 'C m m m'
_symmetry_Int_Tables_number 65
_symmetry_space_group_name_Hall '-C 2 2'
_cell_length_a 4.8667
_cell_length_b 14.5932
_cell_length_c 6.8383
_cell_angle_alpha 90.00
_cell_angle_beta 90.00
_cell_angle_gamma 90.00
loop_
_atom_site_label
_atom_site_type_symbol
_atom_site_fract_x
_atom_site_fract_y
_atom_site_fract_z
Tm1 Tm 0.0000 0.0000 0.2452
Tm2 Tm 0.0000 0.3309 0.2427
Ir1 Ir 0.0000 0.1643 0.0000
Pd1 Pd 0.0000 0.1667 0.5000
Pd2 Pd 0.0000 0.5000 0.0000
Pd3 Pd 0.0000 0.5000 0.5000
```

E above lowest polymorph = 0.000 kcal/mol of atoms
Calculated formation energy = -964 meV/atom
D(E_F) = 0.444 states/eV/atom

Record 2
First-principles (PBE-GGA) data for a geometry-optimized Tm6IrPd2 structure, as listed in the Alexandria database.

```
data_Tm6IrPd2
_symmetry_space_group_name_H-M 'P 1 21/c 1'
_symmetry_Int_Tables_number 14
_symmetry_space_group_name_Hall '-P 2ybc'
_cell_length_a 6.4665
_cell_length_b 7.2912
_cell_length_c 11.7246
_cell_angle_alpha 90.00
_cell_angle_beta 123.05
_cell_angle_gamma 90.00
loop_
_atom_site_label
_atom_site_type_symbol
_atom_site_fract_x
_atom_site_fract_y
_atom_site_fract_z
Tm1 Tm 0.0876 0.1825 0.4319
Tm2 Tm 0.2613 0.6747 0.4331
Tm3 Tm 0.3986 0.0405 0.2458
Ir1 Ir 0.5000 0.0000 0.5000
Pd1 Pd 0.1879 0.1163 0.7460
```

E above lowest polymorph = 0.232 kcal/mol of atoms
Calculated formation energy = -642 meV/atom
D(E_F) = 0.777 states/eV/atom

Record 3
First-principles (PBE-GGA) data for a geometry-optimized Tm3IrPd2 structure, as listed in the Alexandria database.

```
data_Tm3IrPd2
_symmetry_space_group_name_H-M 'P 4/m m m'
_symmetry_Int_Tables_number 123
_symmetry_space_group_name_Hall '-P 4 2'
_cell_length_a 3.4040
_cell_length_b 3.4040
_cell_length_c 10.4991
_cell_angle_alpha 90.00
_cell_angle_beta 90.00
_cell_angle_gamma 90.00
loop_
_atom_site_label
_atom_site_type_symbol
_atom_site_fract_x
_atom_site_fract_y
_atom_site_fract_z
Tm1 Tm 0.0000 0.0000 0.0000
Tm2 Tm 0.0000 0.0000 0.3422
Ir1 Ir 0.5000 0.5000 0.5000
Pd1 Pd 0.5000 0.5000 0.1661
```

E above lowest polymorph = 0.250 kcal/mol of atoms
Calculated formation energy = -954 meV/atom
D(E_F) = 0.500 states/eV/atom

Record 4
First-principles (PBE-GGA) data for a geometry-optimized Tm5Ir2Pd2 structure, as listed in the Alexandria database.

```
data_Tm5Ir2Pd2
_symmetry_space_group_name_H-M 'C m c e'
_symmetry_Int_Tables_number 64
_symmetry_space_group_name_Hall '-C 2ac 2'
_cell_length_a 14.5341
_cell_length_b 7.4114
_cell_length_c 7.4663
_cell_angle_alpha 90.00
_cell_angle_beta 90.00
_cell_angle_gamma 90.00
loop_
_atom_site_label
_atom_site_type_symbol
_atom_site_fract_x
_atom_site_fract_y
_atom_site_fract_z
Tm1 Tm 0.0000 0.0000 0.0000
Tm2 Tm 0.1325 0.1717 0.3316
Ir1 Ir 0.0000 0.1323 0.6320
Pd1 Pd 0.2063 0.0000 0.0000
```

Calculated formation energy = -873 meV/atom
D(E_F) = 0.471 states/eV/atom

Record 5
First-principles (PBE-GGA) data for a geometry-optimized YTmIrPd structure, as listed in the Alexandria database.

```
data_YTmIrPd
_symmetry_space_group_name_H-M 'F -4 3 m'
_symmetry_Int_Tables_number 216
_symmetry_space_group_name_Hall 'F -4 2 3'
_cell_length_a 6.8890
_cell_length_b 6.8890
_cell_length_c 6.8890
_cell_angle_alpha 90.00
_cell_angle_beta 90.00
_cell_angle_gamma 90.00
loop_
_atom_site_label
_atom_site_type_symbol
_atom_site_fract_x
_atom_site_fract_y
_atom_site_fract_z
Y1 Y 0.0000 0.0000 0.0000
Tm1 Tm 0.0000 0.0000 0.5000
Ir1 Ir 0.2500 0.2500 0.7500
Pd1 Pd 0.2500 0.2500 0.2500
```

Calculated formation energy = -926 meV/atom
D(E_F) = 0.323 states/eV/atom

Record 6
First-principles (PBE-GGA) data for a geometry-optimized TmZnIrPd structure, as listed in the Alexandria database.

```
data_TmZnIrPd
_symmetry_space_group_name_H-M 'F -4 3 m'
_symmetry_Int_Tables_number 216
_symmetry_space_group_name_Hall 'F -4 2 3'
_cell_length_a 6.4848
_cell_length_b 6.4848
_cell_length_c 6.4848
_cell_angle_alpha 90.00
_cell_angle_beta 90.00
_cell_angle_gamma 90.00
loop_
_atom_site_label
_atom_site_type_symbol
_atom_site_fract_x
_atom_site_fract_y
_atom_site_fract_z
Tm1 Tm 0.0000 0.0000 0.0000
Zn1 Zn 0.0000 0.0000 0.5000
Ir1 Ir 0.2500 0.2500 0.2500
Pd1 Pd 0.2500 0.2500 0.7500
```

Calculated formation energy = -657 meV/atom
D(E_F) = 0.172 states/eV/atom